{
  "formula": "MnPO4",
  "functional": "GGA-PBEsol",
  "state": "optimized geometry",
  "lattice": [[4.655, 0.001, 0.000], [-1.716, 4.327, 0.000], [0.000, 0.000, 6.381]],
  "species": ["P", "P", "Mn", "Mn", "O", "O", "O", "O", "O", "O", "O", "O"],
  "fractional_positions": [[0.347, 0.653, 0.250], [0.653, 0.347, 0.750], [0.000, 0.000, 0.000], [0.000, 0.000, 0.500], [0.762, 0.238, 0.549], [0.762, 0.238, 0.951], [0.238, 0.762, 0.049], [0.291, 0.221, 0.750], [0.709, 0.779, 0.250], [0.779, 0.709, 0.750], [0.221, 0.291, 0.250], [0.238, 0.762, 0.451]],
  "raw_formation_energy_mev_per_atom": -1954,
  "total_energy_ev_per_atom": -8.0457
}